*i*
VASP calculation (PBE-GGA) on LiTaP2S after structural relaxation.

Cell lengths 4.8580, 4.8580, 4.7929 Å; angles 90.00, 90.00, 90.00 degrees
With the nearest neighbours (Å) after each atom.
Fractional positions:
Li: 0.0000 0.0000 0.0000  8 P 3.41, 4 S 3.44
Ta: 0.5000 0.5000 0.5000  2 S 2.40, 4 P 2.43
P: 0.0000 0.5000 0.5000  2 Ta 2.43
P: 0.5000 0.0000 0.5000  2 Ta 2.43
S: 0.5000 0.5000 0.0000  2 Ta 2.40

## Properties
The density of states at the Fermi level comes out at 4.26 states/eV/cell. As for the space-group type: P4/mmm, No. 123.

*ii*
VASP calculation (PBE-GGA) on LiTaP2S after structural relaxation.

Cell lengths 4.1104, 4.1104, 4.5714 Å; angles 90.00, 90.00, 90.00 degrees
With the nearest neighbours (Å) after each atom.
Fractional positions:
Li: 0.0000 0.0000 0.0000  4 P 2.06, 2 S 2.29
Ta: 0.5000 0.5000 0.5000  4 S 2.91, 8 P 3.07
P: 0.0000 0.5000 0.0000  2 Li 2.06
P: 0.5000 0.0000 0.0000  2 Li 2.06
S: 0.0000 0.0000 0.5000  2 Li 2.29

## Properties
The density of states at the Fermi level comes out at 3.22 states/eV/cell. As for the space-group type: P4/mmm, No. 123.

Top of the stability list: *i*, leading by 85.1 kJ/mol of atoms.

*i*
VASP calculation (PBE-GGA) on LiTiPS2 after structural relaxation.

Cell lengths 4.7335, 4.7335, 4.7413 Å; angles 90.00, 90.00, 90.00 degrees
With the nearest neighbours (Å) after each atom.
Fractional positions:
Li: 0.0000 0.0000 0.0000  4 P 3.35, 8 S 3.35
Ti: 0.5000 0.5000 0.5000  4 S 2.37, 2 P 2.37
P: 0.5000 0.5000 0.0000  2 Ti 2.37
S: 0.0000 0.5000 0.5000  2 Ti 2.37
S: 0.5000 0.0000 0.5000  2 Ti 2.37

## Properties
The density of states at the Fermi level comes out at 3.90 states/eV/cell. As for the space-group type: P4/mmm, No. 123.

*ii*
VASP calculation (PBE-GGA) on LiTiPS2 after structural relaxation.

Cell lengths 4.3820, 4.3820, 4.2339 Å; angles 90.00, 90.00, 90.00 degrees
With the nearest neighbours (Å) after each atom.
Fractional positions:
Li: 0.0000 0.0000 0.0000  2 P 2.12, 4 S 2.19
Ti: 0.5000 0.5000 0.5000  8 S 3.05, 4 P 3.10
P: 0.0000 0.0000 0.5000  2 Li 2.12
S: 0.0000 0.5000 0.0000  2 Li 2.19
S: 0.5000 0.0000 0.0000  2 Li 2.19

## Properties
The density of states at the Fermi level comes out at 6.23 states/eV/cell. As for the space-group type: P4/mmm, No. 123.

Top of the stability list: *i*, leading by 74.2 kJ/mol of atoms.

*i*
VASP calculation (PBE-GGA) on LiTlPS2 after structural relaxation.

Cell lengths 4.7475, 4.7475, 4.4763 Å; angles 90.00, 90.00, 90.00 degrees
With the nearest neighbours (Å) after each atom.
Fractional positions:
Li: 0.0000 0.0000 0.0000  2 P 2.24, 4 S 2.37
Tl: 0.5000 0.5000 0.5000  8 S 3.26, 4 P 3.36
P: 0.0000 0.0000 0.5000  2 Li 2.24
S: 0.0000 0.5000 0.0000  2 Li 2.37
S: 0.5000 0.0000 0.0000  2 Li 2.37

## Properties
The density of states at the Fermi level comes out at 5.21 states/eV/cell. As for the space-group type: P4/mmm, No. 123.

*ii*
VASP calculation (PBE-GGA) on LiTlPS2 after structural relaxation.

Cell lengths 5.2741, 5.2741, 5.1560 Å; angles 90.00, 90.00, 90.00 degrees
With the nearest neighbours (Å) after each atom.
Fractional positions:
Li: 0.0000 0.0000 0.0000  8 S 3.69, 4 P 3.73
Tl: 0.5000 0.5000 0.5000  2 P 2.58, 4 S 2.64
P: 0.5000 0.5000 0.0000  2 Tl 2.58
S: 0.0000 0.5000 0.5000  2 Tl 2.64
S: 0.5000 0.0000 0.5000  2 Tl 2.64

## Properties
The density of states at the Fermi level comes out at 3.60 states/eV/cell. As for the space-group type: P4/mmm, No. 123.

Top of the stability list: *i*, leading by 19.2 kJ/mol of atoms.

*i*
VASP calculation (PBE-GGA) on LiVP2S after structural relaxation.

Cell lengths 4.5879, 4.5879, 4.5587 Å; angles 90.00, 90.00, 90.00 degrees
With the nearest neighbours (Å) after each atom.
Fractional positions:
Li: 0.0000 0.0000 0.0000  8 P 3.23, 4 S 3.24
V: 0.5000 0.5000 0.5000  2 S 2.28, 4 P 2.29
P: 0.0000 0.5000 0.5000  2 V 2.29
P: 0.5000 0.0000 0.5000  2 V 2.29
S: 0.5000 0.5000 0.0000  2 V 2.28

## Properties
The density of states at the Fermi level comes out at 3.10 states/eV/cell. As for the space-group type: P4/mmm, No. 123.

*ii*
VASP calculation (PBE-GGA) on LiVP2S after structural relaxation.

Cell lengths 4.1781, 4.1781, 4.6352 Å; angles 90.00, 90.00, 90.00 degrees
With the nearest neighbours (Å) after each atom.
Fractional positions:
Li: 0.0000 0.0000 0.0000  4 P 2.09, 2 S 2.32
V: 0.5000 0.5000 0.5000  4 S 2.95, 8 P 3.12
P: 0.0000 0.5000 0.0000  2 Li 2.09
P: 0.5000 0.0000 0.0000  2 Li 2.09
S: 0.0000 0.0000 0.5000  2 Li 2.32

## Properties
The density of states at the Fermi level comes out at 5.25 states/eV/cell. As for the space-group type: P4/mmm, No. 123.

Top of the stability list: *i*, leading by 75.5 kJ/mol of atoms.